# 1
Here is a relaxed structure of EuGe4Bi from Alexandria via LeMat-Bulk. Energies are from PBE-GGA.

Summary:
Calculated total energy = -5.561 eV per atom
Calculated volume = 545 Å³ per cell
Spin magnetization = 7.161 μB/f.u.
Theoretical density = 7.9 g/cm3
Energy relative to the elements = -0.1237 eV/atom

Lattice parameters (Å, degrees): 8.170 8.170 8.170 90.00 90.00 90.00
Space group F-43m (No. 216)
Inequivalent atoms, fractional coordinates:
Eu1 0.000 0.000 0.000
Ge1 0.123 0.123 0.377
Bi1 0.250 0.250 0.750

=====

# 2
Here is a relaxed structure of Cs3PtW from Alexandria via LeMat-Bulk. Energies are from PBE-GGA.

Summary:
Calculated total energy = -3.037 eV per atom
Calculated volume = 291 Å³ per cell
Spin magnetization = 5.000 μB/f.u.
Theoretical density = 4.4 g/cm3
Energy relative to the elements = 1.2736 eV/atom

Lattice parameters (Å, degrees): 6.623 6.623 6.623 90.00 90.00 90.00
Space group Pm-3m (No. 221)
Inequivalent atoms, fractional coordinates:
Cs1 0.000 0.000 0.500
Pt1 0.000 0.000 0.000
W1 0.500 0.500 0.500

=====

# 3
Here is a relaxed structure of Sr6Bi2Pt from Alexandria via LeMat-Bulk. Energies are from PBE-GGA.

Summary:
Calculated total energy = -3.335 eV per atom
Calculated volume = 740 Å³ per cell
Spin magnetization = 0.000 μB/f.u.
Theoretical density = 5.1 g/cm3
Energy relative to the elements = -0.6800 eV/atom

Lattice parameters (Å, degrees): 7.698 8.736 13.369 90.00 124.63 90.00
Space group P2_1/c (No. 14)
Inequivalent atoms, fractional coordinates:
Sr1 0.113 0.194 0.444
Sr2 0.271 0.677 0.446
Sr3 0.374 0.029 0.255
Bi1 0.203 0.104 0.745
Pt1 0.000 0.000 0.000